# 1
This record from Alexandria describes a relaxed Ca3InO4 crystal. The functional is PBE.

Properties
Its total magnetic moment is 0.000 μB per atom. The energy relative to the lowest polymorph listed for this composition is 0.0 meV per atom. As for the energy: -6.02 eV per atom. The crystal system is tetragonal.

```
data_Ca3InO4
_chemical_formula_sum 'Ca6 In2 O8'
_space_group_name_H-M_alt 'I 4/m m m'
_space_group_IT_number 139
_space_group_name_Hall '-I 4 2'
_cell_length_a 4.851
_cell_length_b 4.851
_cell_length_c 9.880
_cell_angle_alpha 90.00
_cell_angle_beta 90.00
_cell_angle_gamma 90.00
loop_
_atom_site_label
_atom_site_type_symbol
_atom_site_fract_x
_atom_site_fract_y
_atom_site_fract_z
Ca1 Ca 0.000 0.000 0.000
Ca2 Ca 0.000 0.500 0.250
In1 In 0.000 0.000 0.500
O1 O 0.000 0.000 0.240
O2 O 0.000 0.500 0.000
```


# 2
This record from Alexandria describes a relaxed LiV2HRh crystal. The functional is PBE.

Properties
Its total magnetic moment is 0.000 μB per atom. As for the energy: -6.25 eV per atom. The crystal system is tetragonal.

```
data_LiV2HRh
_chemical_formula_sum 'Li1 V2 H1 Rh1'
_space_group_name_H-M_alt 'P 4/m m m'
_space_group_IT_number 123
_space_group_name_Hall '-P 4 2'
_cell_length_a 3.741
_cell_length_b 3.741
_cell_length_c 3.883
_cell_angle_alpha 90.00
_cell_angle_beta 90.00
_cell_angle_gamma 90.00
loop_
_atom_site_label
_atom_site_type_symbol
_atom_site_fract_x
_atom_site_fract_y
_atom_site_fract_z
Li1 Li 0.000 0.000 0.000
V1 V 0.000 0.500 0.500
H1 H 0.000 0.000 0.500
Rh1 Rh 0.500 0.500 0.000
```


# 3
This record from Alexandria describes a relaxed Cs5CdHg crystal. The functional is PBE.

Properties
Its total magnetic moment is 0.000 μB per atom. As for the energy: -0.85 eV per atom. The crystal system is monoclinic.

```
data_Cs5CdHg
_chemical_formula_sum 'Cs10 Cd2 Hg2'
_space_group_name_H-M_alt 'P 1 21/m 1'
_space_group_IT_number 11
_cell_length_a 10.561
_cell_length_b 5.583
_cell_length_c 18.284
_cell_angle_alpha 90.00
_cell_angle_beta 93.71
_cell_angle_gamma 90.00
loop_
_space_group_symop_operation_xyz
'x,y,z'
'-x,-y,-z'
'-x,y+1/2,-z'
'x,-y+1/2,z'
loop_
_atom_site_label
_atom_site_type_symbol
_atom_site_fract_x
_atom_site_fract_y
_atom_site_fract_z
Cs1 Cs 0.060 0.250 0.174
Cs2 Cs 0.154 0.750 0.565
Cs3 Cs 0.314 0.750 0.014
Cs4 Cs 0.329 0.250 0.774
Cs5 Cs 0.354 0.250 0.370
Cd1 Cd 0.055 0.750 0.339
Hg1 Hg 0.439 0.250 0.153
```


# 4
This record from Alexandria describes a relaxed Cu2Si2Au crystal. The functional is PBE.

Properties
Its total magnetic moment is 0.000 μB per atom. The energy relative to the lowest polymorph listed for this composition is 80.7 meV per atom. As for the energy: -4.25 eV per atom. The crystal system is tetragonal.

```
data_Cu2Si2Au
_chemical_formula_sum 'Cu4 Si4 Au2'
_space_group_name_H-M_alt 'P 4/m b m'
_space_group_IT_number 127
_space_group_name_Hall '-P 4 2ab'
_cell_length_a 7.248
_cell_length_b 7.248
_cell_length_c 2.797
_cell_angle_alpha 90.00
_cell_angle_beta 90.00
_cell_angle_gamma 90.00
loop_
_atom_site_label
_atom_site_type_symbol
_atom_site_fract_x
_atom_site_fract_y
_atom_site_fract_z
Cu1 Cu 0.122 0.378 0.000
Si1 Si 0.179 0.679 0.500
Au1 Au 0.000 0.000 0.000
```


# 5
This record from Alexandria describes a relaxed U3ReB7 crystal. The functional is PBE.

Properties
Its total magnetic moment is 0.497 μB per atom. As for the energy: -8.84 eV per atom. The crystal system is orthorhombic.

```
data_U3ReB7
_chemical_formula_sum 'U12 Re4 B28'
_space_group_name_H-M_alt 'C m c m'
_space_group_IT_number 63
_space_group_name_Hall '-C 2c 2'
_cell_length_a 3.533
_cell_length_b 15.584
_cell_length_c 9.292
_cell_angle_alpha 90.00
_cell_angle_beta 90.00
_cell_angle_gamma 90.00
loop_
_atom_site_label
_atom_site_type_symbol
_atom_site_fract_x
_atom_site_fract_y
_atom_site_fract_z
U1 U 0.000 0.107 0.062
U2 U 0.000 0.254 0.750
Re1 Re 0.000 0.054 0.750
B1 B 0.000 0.274 0.033
B2 B 0.000 0.365 0.152
B3 B 0.000 0.456 0.750
B4 B 0.000 0.479 0.092
```


# 6
This record from Alexandria describes a relaxed KFe2Te crystal. The functional is PBE.

Properties
Its total magnetic moment is 1.300 μB per atom. As for the energy: -4.76 eV per atom. The crystal system is orthorhombic.

```
data_KFe2Te
_chemical_formula_sum 'K2 Fe4 Te2'
_space_group_name_H-M_alt 'I m m 2'
_space_group_IT_number 44
_cell_length_a 3.083
_cell_length_b 5.982
_cell_length_c 10.707
_cell_angle_alpha 90.00
_cell_angle_beta 90.00
_cell_angle_gamma 90.00
loop_
_space_group_symop_operation_xyz
'x,y,z'
'-x,-y,z'
'-x,y,z'
'x,-y,z'
'x+1/2,y+1/2,z+1/2'
'-x+1/2,-y+1/2,z+1/2'
'-x+1/2,y+1/2,z+1/2'
'x+1/2,-y+1/2,z+1/2'
loop_
_atom_site_label
_atom_site_type_symbol
_atom_site_fract_x
_atom_site_fract_y
_atom_site_fract_z
K1 K 0.000 0.000 0.000
Fe1 Fe 0.000 0.000 0.502
Fe2 Fe 0.000 0.500 0.165
Te1 Te 0.000 0.500 0.805
```